# 1
The following is a DFT calculation (SCAN) of a PBEsol-optimized structure of AlAsPBr2.

Results
The calculation puts the calculated volume at 26.77 A^3/atom. As for the space group: No. 123. The value obtained for the electronic total energy is -75.05 eV per cell.

abc: 5.313 5.313 4.742
angles: 90.00 90.00 90.00
Fractional coordinates of all 5 atoms:
Al  0.000  0.000  0.000
As  0.500  0.500  0.500
P  0.500  0.500  0.000
Br  0.000  0.500  0.500
Br  0.500  0.000  0.500

***

# 2
The following is a DFT calculation (SCAN) of a PBEsol-optimized structure of AlAs2PdBr.

Results
The calculation puts the calculated volume at 23.77 A^3/atom. As for the space group: No. 123. The value obtained for the electronic total energy is -97.80 eV per cell.

abc: 4.793 4.793 5.175
angles: 90.00 90.00 90.00
Fractional coordinates of all 5 atoms:
Al  0.000  0.000  0.000
As  0.000  0.500  0.500
As  0.500  0.000  0.500
Pd  0.500  0.500  0.500
Br  0.500  0.500  0.000

***

# 3
The following is a DFT calculation (SCAN) of a PBEsol-optimized structure of AlAsSeBr2.

Results
The calculation puts the calculated volume at 28.11 A^3/atom. As for the space group: No. 123. The value obtained for the electronic total energy is -84.50 eV per cell.

abc: 5.257 5.257 5.087
angles: 90.00 90.00 90.00
Fractional coordinates of all 5 atoms:
Al  0.000  0.000  0.000
As  0.500  0.500  0.000
Se  0.500  0.500  0.500
Br  0.000  0.500  0.500
Br  0.500  0.000  0.500

***

# 4
The following is a DFT calculation (SCAN) of a PBEsol-optimized structure of SrAlAsBr2.

Results
The calculation puts the calculated volume at 39.77 A^3/atom. As for the space group: No. 123. The value obtained for the electronic total energy is -90.97 eV per cell.

abc: 5.738 5.738 6.039
angles: 90.00 90.00 90.00
Fractional coordinates of all 5 atoms:
Sr  0.000  0.000  0.000
Al  0.500  0.500  0.500
As  0.000  0.000  0.500
Br  0.000  0.500  0.000
Br  0.500  0.000  0.000

***

# 5
The following is a DFT calculation (SCAN) of a PBEsol-optimized structure of YAlAs2Br.

Results
The calculation puts the calculated volume at 23.15 A^3/atom. As for the space group: No. 123. The value obtained for the electronic total energy is -97.41 eV per cell.

abc: 4.817 4.817 4.989
angles: 90.00 90.00 90.00
Fractional coordinates of all 5 atoms:
Y  0.000  0.000  0.000
Al  0.500  0.500  0.500
As  0.000  0.500  0.500
As  0.500  0.000  0.500
Br  0.500  0.500  0.000

***

# 6
The following is a DFT calculation (SCAN) of a PBEsol-optimized structure of AlZnAsBr2.

Results
The calculation puts the calculated volume at 24.89 A^3/atom. As for the space group: No. 123. The value obtained for the electronic total energy is -79.34 eV per cell.

abc: 5.021 5.021 4.937
angles: 90.00 90.00 90.00
Fractional coordinates of all 5 atoms:
Al  0.000  0.000  0.000
Zn  0.500  0.500  0.500
As  0.500  0.500  0.000
Br  0.000  0.500  0.500
Br  0.500  0.000  0.500

***

# 7
The following is a DFT calculation (SCAN) of a PBEsol-optimized structure of CaAl2HgAs.

Results
The calculation puts the calculated volume at 33.69 A^3/atom. As for the space group: No. 123. The value obtained for the electronic total energy is -108.87 eV per cell. The calculation puts the formation energy at 89.8 kJ per mole of atoms.

abc: 5.688 5.688 5.207
angles: 90.00 90.00 90.00
Fractional coordinates of all 5 atoms:
Ca  0.000  0.000  0.000
Al  0.000  0.500  0.000
Al  0.500  0.000  0.000
Hg  0.500  0.500  0.500
As  0.000  0.000  0.500

***

# 8
The following is a DFT calculation (SCAN) of a PBEsol-optimized structure of CaAlAs2I.

Results
The calculation puts the calculated volume at 30.95 A^3/atom. As for the space group: No. 123. The value obtained for the electronic total energy is -91.40 eV per cell.

abc: 5.452 5.452 5.206
angles: 90.00 90.00 90.00
Fractional coordinates of all 5 atoms:
Ca  0.000  0.000  0.000
Al  0.500  0.500  0.000
As  0.000  0.500  0.500
As  0.500  0.000  0.500
I  0.500  0.500  0.500

***

# 9
The following is a DFT calculation (SCAN) of a PBEsol-optimized structure of Na3Ca3AlAs4.

Results
The calculation puts the calculated volume at 24.60 A^3/atom. As for the space group: No. 186. The value obtained for the electronic total energy is -282.32 eV per cell. The calculation puts the formation energy at -96.6 kJ per mole of atoms.

abc: 9.365 9.365 7.125
angles: 90.00 90.00 120.00
Fractional coordinates of all 22 atoms:
Na  0.137  0.274  0.000
Na  0.137  0.863  0.000
Na  0.274  0.137  0.500
Na  0.726  0.863  0.000
Na  0.863  0.137  0.500
Na  0.863  0.726  0.500
Ca  0.049  0.525  0.327
Ca  0.475  0.525  0.327
Ca  0.475  0.951  0.327
Ca  0.525  0.049  0.827
Ca  0.525  0.475  0.827
Ca  0.951  0.475  0.827
Al  0.333  0.667  0.704
Al  0.667  0.333  0.204
As  0.190  0.380  0.597
As  0.190  0.810  0.597
As  0.333  0.667  0.056
As  0.380  0.190  0.097
As  0.620  0.810  0.597
As  0.667  0.333  0.556
As  0.810  0.190  0.097
As  0.810  0.620  0.097

***

# 10
The following is a DFT calculation (SCAN) of a PBEsol-optimized structure of CaNbAl2As.

Results
The calculation puts the calculated volume at 25.39 A^3/atom. As for the space group: No. 123. The value obtained for the electronic total energy is -71.06 eV per cell. The calculation puts the formation energy at 143.4 kJ per mole of atoms.

abc: 5.042 5.042 4.994
angles: 90.00 90.00 90.00
Fractional coordinates of all 5 atoms:
Ca  0.000  0.000  0.000
Nb  0.500  0.500  0.500
Al  0.000  0.500  0.000
Al  0.500  0.000  0.000
As  0.000  0.000  0.500

***

# 11
The following is a DFT calculation (SCAN) of a PBEsol-optimized structure of CaAlAs2Se.

Results
The calculation puts the calculated volume at 23.32 A^3/atom. As for the space group: No. 123. The value obtained for the electronic total energy is -79.52 eV per cell.

abc: 4.813 4.813 5.035
angles: 90.00 90.00 90.00
Fractional coordinates of all 5 atoms:
Ca  0.000  0.000  0.000
Al  0.500  0.500  0.500
As  0.000  0.500  0.500
As  0.500  0.000  0.500
Se  0.500  0.500  0.000

***

# 12
The following is a DFT calculation (SCAN) of a PBEsol-optimized structure of CaAlAsSe2.

Results
The calculation puts the calculated volume at 23.56 A^3/atom. As for the space group: No. 123. The value obtained for the electronic total energy is -80.82 eV per cell.

abc: 4.994 4.994 4.724
angles: 90.00 90.00 90.00
Fractional coordinates of all 5 atoms:
Ca  0.000  0.000  0.000
Al  0.500  0.500  0.500
As  0.500  0.500  0.000
Se  0.000  0.500  0.500
Se  0.500  0.000  0.500